No. 1
Material: ReOs2Rh
Method: DFT, PBE
State: relaxed

Calculated values
energy above the lowest structure with this stoichiometry = 0.031 eV per atom
energy of formation from the pure elements = 68.7 meV per atom
magnetic moment = 0.0 μB per formula unit
theoretical density = 19.2 Mg/m³

extended XYZ file:
```
4
Lattice="-0.2002 1.2262 2.4402 -2.7302 -0.0310 -0.2085 -0.1854 -6.9054 3.4547" Properties=species:S:1:pos:R:3 pbc="T T T"
Rh -1.4652 0.5976 1.1159
Os -0.0467 -1.7404 0.8707
Os -0.1387 -5.1650 2.5840
Re -1.5579 -2.8551 2.8432
```

---

No. 2
Material: Pm4PPd2
Method: DFT, PBE
State: relaxed

Calculated values
energy of formation from the pure elements = -564.1 meV per atom
magnetic moment = 0.0 μB per formula unit
theoretical density = 6.5 Mg/m³

extended XYZ file:
```
7
Lattice="5.4585 0.0000 0.0000 0.0000 5.4585 0.0000 -2.7293 -2.7293 7.0108" Properties=species:S:1:pos:R:3 pbc="T T T"
Pd 2.7293 2.7293 1.4390
Pm 0.0000 0.0000 2.8012
Pm 2.7293 2.7293 4.2097
P 0.0000 0.0000 0.0000
Pm 2.7293 0.0000 0.0000
Pm 0.0000 2.7293 0.0000
Pd 0.0000 0.0000 5.5718
```

---

No. 3
Material: BaNa7Li5
Method: DFT, PBE
State: relaxed

Calculated values
energy of formation from the pure elements = 29.1 meV per atom
magnetic moment = 0.0 μB per formula unit
theoretical density = 1.3 Mg/m³

extended XYZ file:
```
13
Lattice="6.3426 0.0000 0.0000 3.1713 8.1672 0.0610 3.1713 0.0346 8.1673" Properties=species:S:1:pos:R:3 pbc="T T T"
Li 9.5139 6.3831 6.4037
Na 9.5139 2.9271 5.3616
Na 9.5139 5.3521 2.9444
Na 6.3426 2.8381 2.8472
Li 11.0853 8.1349 4.2199
Li 7.9426 8.1349 4.2199
Na 3.1713 1.8178 1.8237
Ba 6.3426 8.1348 8.1611
Li 11.0853 4.1936 8.1485
Na 6.3426 5.3348 5.3520
Na 6.3426 1.7351 6.4400
Li 7.9426 4.1936 8.1485
Na 6.3426 6.4344 1.7559
```

---

No. 4
Material: VGa2W
Method: DFT, PBE
State: relaxed

Calculated values
energy above the lowest structure with this stoichiometry = 0.000 eV per atom
energy of formation from the pure elements = 45.9 meV per atom
magnetic moment = 0.0 μB per formula unit
theoretical density = 10.2 Mg/m³

extended XYZ file:
```
4
Lattice="2.8279 0.0000 0.0000 1.4139 2.4490 0.0000 1.4139 0.8163 8.7828" Properties=species:S:1:pos:R:3 pbc="T T T"
Ga 1.4139 0.8163 2.1318
Ga 1.4139 0.8163 6.6488
V 2.8279 1.6327 0.0106
W 2.8279 1.6327 4.3829
```

---

No. 5
Material: SmTlPb2
Method: DFT, PBE
State: relaxed

Calculated values
energy above the lowest structure with this stoichiometry = 0.074 eV per atom
energy of formation from the pure elements = -260.9 meV per atom
magnetic moment = 0.0 μB per formula unit
theoretical density = 10.7 Mg/m³

extended XYZ file:
```
4
Lattice="3.5170 -0.4176 0.6236 0.4369 5.7330 1.3759 -0.9534 0.6319 5.8003" Properties=species:S:1:pos:R:3 pbc="T T T"
Sm 1.9769 2.6577 0.9998
Tl 1.2818 0.1071 3.2120
Pb 0.0000 0.0000 0.0000
Pb -0.2583 3.1825 3.5881
```

---

No. 6
Material: ZrAlPt
Method: DFT, PBE
State: relaxed

Calculated values
energy of formation from the pure elements = -870.0 meV per atom
magnetic moment = 0.8 μB per formula unit
theoretical density = 8.5 Mg/m³

extended XYZ file:
```
3
Lattice="4.4220 0.0000 0.0000 2.2110 3.8296 0.0000 2.2110 1.2765 3.6106" Properties=species:S:1:pos:R:3 pbc="T T T"
Pt 6.6330 3.8296 2.7079
Zr 0.0000 0.0000 0.0000
Al 4.4220 2.5531 1.8053
```

---

No. 7
Material: KRuPb2
Method: DFT, PBE
State: relaxed

Calculated values
energy of formation from the pure elements = 702.6 meV per atom
magnetic moment = 1.7 μB per formula unit
theoretical density = 9.0 Mg/m³

extended XYZ file:
```
4
Lattice="5.8212 0.0515 -0.4884 -2.2206 5.3812 -0.4884 0.2814 0.4246 3.1804" Properties=species:S:1:pos:R:3 pbc="T T T"
Pb 1.8003 2.7164 -0.4884
K -0.9696 2.9029 1.3460
Ru 3.0513 0.2381 1.3460
Pb 0.0000 0.0000 0.0000
```